(1)
First-principles (PBE) data for a geometry-optimized VGeP structure, as listed in the Alexandria database.

Computed properties:
Calculated density = 5.54 g/cm³
SG = P-6m2, No. 187

a = 3.3225 Å, b = 4.0141 Å, c = 4.0141 Å
α = 120.00°, β = 90.00°, γ = 90.00°
Last column: nearest neighbours and their distance in Å.
Sites, in units of the cell vectors:
Ge 0.6668 0.3333 0.6667  6 P 2.85, 6 V 2.85
P 0.1665 0.0000 0.0000  3 V 2.32
V 0.1668 0.6667 0.3333  3 P 2.32

(2)
First-principles (PBE) data for a geometry-optimized K2Re2Tc structure, as listed in the Alexandria database.

Computed properties:
Calculated density = 8.49 g/cm³
SG = I4/mmm, No. 139

a = 8.5807 Å, b = 8.5807 Å, c = 8.5807 Å
α = 155.65°, β = 155.65°, γ = 34.70°
Last column: nearest neighbours and their distance in Å.
Sites, in units of the cell vectors:
K 0.7500 0.2500 0.5000  4 K 2.56
K 0.2500 0.7500 0.5000  4 K 2.56
Re 0.4309 0.4309 0.0000  1 Re 2.27
Re 0.5691 0.5691 0.0000  1 Re 2.27
Tc 0.0000 0.0000 0.0000  8 Re 2.80

Values of final energy, in order: -6.41; -5.64, all in eV per atom.